# 1
A plane-wave DFT calculation with PBE-GGA was carried out for a relaxed structure of ScCoRuC.

Properties
**Space group**: Pmmm (47)
**ΔE_f**: -0.06 eV/atom
**Density of states at the Fermi level**: 2.4 states/eV/cell
**Total energy**: -8.04 eV/atom
**M_tot**: 0.00 μB/cell

extended XYZ file:
```
4
Lattice="3.672 0.000 0.000 0.000 3.968 0.000 0.000 0.000 4.031" Properties=species:S:1:pos:R:3 pbc="T T T"
Sc 0.000 0.000 0.000
Co 0.000 1.984 2.016
Ru 1.836 0.000 2.016
C 1.836 1.984 2.016
```



# 2
A plane-wave DFT calculation with PBE-GGA was carried out for a relaxed structure of ScCo2RuC.

Properties
**Space group**: P4/mmm (123)
**ΔE_f**: -0.29 eV/atom
**Density of states at the Fermi level**: 1.8 states/eV/cell
**Total energy**: -8.10 eV/atom
**M_tot**: 0.93 μB/cell

extended XYZ file:
```
5
Lattice="3.843 0.000 0.000 0.000 3.843 0.000 0.000 0.000 4.060" Properties=species:S:1:pos:R:3 pbc="T T T"
Sc 0.000 0.000 0.000
Co 0.000 1.922 2.030
Co 1.922 0.000 2.030
Ru 1.922 1.922 0.000
C 1.922 1.922 2.030
```



# 3
A plane-wave DFT calculation with PBE-GGA was carried out for a relaxed structure of ScCoRu2C.

Properties
**Space group**: P4/mmm (123)
**ΔE_f**: -0.30 eV/atom
**Density of states at the Fermi level**: 1.8 states/eV/cell
**Total energy**: -8.54 eV/atom
**M_tot**: 0.00 μB/cell

extended XYZ file:
```
5
Lattice="4.097 0.000 0.000 0.000 4.097 0.000 0.000 0.000 3.804" Properties=species:S:1:pos:R:3 pbc="T T T"
Sc 0.000 0.000 0.000
Co 2.049 2.049 0.000
Ru 0.000 2.049 1.902
Ru 2.049 0.000 1.902
C 2.049 2.049 1.902
```



# 4
A plane-wave DFT calculation with PBE-GGA was carried out for a relaxed structure of CoSnRu2C.

Properties
**Space group**: P4/mmm (123)
**ΔE_f**: 0.05 eV/atom
**Density of states at the Fermi level**: 3.6 states/eV/cell
**Total energy**: -7.73 eV/atom
**M_tot**: 0.45 μB/cell

extended XYZ file:
```
5
Lattice="4.117 0.000 0.000 0.000 4.117 0.000 0.000 0.000 3.841" Properties=species:S:1:pos:R:3 pbc="T T T"
Co 0.000 0.000 0.000
Sn 2.058 2.058 0.000
Ru 0.000 2.058 1.921
Ru 2.058 0.000 1.921
C 0.000 0.000 1.921
```



# 5
A plane-wave DFT calculation with PBE-GGA was carried out for a relaxed structure of Th6Co2RuC3.

Properties
**Space group**: C2/m (12)
**ΔE_f**: -0.19 eV/atom
**Density of states at the Fermi level**: 9.4 states/eV/cell
**Total energy**: -8.16 eV/atom
**M_tot**: 0.00 μB/cell

extended XYZ file:
```
12
Lattice="9.133 -1.903 0.000 9.133 1.903 0.000 -2.894 0.000 7.067" Properties=species:S:1:pos:R:3 pbc="T T T"
Th -0.288 0.000 1.741
Th 4.594 0.000 3.046
Th 3.551 0.000 6.722
Th 11.821 0.000 0.345
Th 10.778 0.000 4.021
Th 15.660 0.000 5.327
Co 0.218 0.000 5.222
Co 15.154 0.000 1.845
Ru 7.686 0.000 3.534
C 2.258 0.000 2.104
C 9.133 0.000 0.000
C 13.114 0.000 4.963
```



# 6
A plane-wave DFT calculation with PBE-GGA was carried out for a relaxed structure of TiCoRu2C.

Properties
**Space group**: P4/mmm (123)
**ΔE_f**: -0.21 eV/atom
**Density of states at the Fermi level**: 3.4 states/eV/cell
**Total energy**: -8.76 eV/atom
**M_tot**: 0.44 μB/cell

extended XYZ file:
```
5
Lattice="4.045 0.000 0.000 0.000 4.045 0.000 0.000 0.000 3.753" Properties=species:S:1:pos:R:3 pbc="T T T"
Ti 0.000 0.000 0.000
Co 2.023 2.023 0.000
Ru 0.000 2.023 1.876
Ru 2.023 0.000 1.876
C 2.023 2.023 1.876
```



# 7
A plane-wave DFT calculation with PBE-GGA was carried out for a relaxed structure of TmCoRu2C.

Properties
**Space group**: P4/mmm (123)
**ΔE_f**: -0.25 eV/atom
**Density of states at the Fermi level**: 2.5 states/eV/cell
**Total energy**: -8.12 eV/atom
**M_tot**: 0.00 μB/cell

extended XYZ file:
```
5
Lattice="4.151 0.000 0.000 0.000 4.151 0.000 0.000 0.000 3.889" Properties=species:S:1:pos:R:3 pbc="T T T"
Tm 0.000 0.000 0.000
Co 2.076 2.076 0.000
Ru 0.000 2.076 1.945
Ru 2.076 0.000 1.945
C 2.076 2.076 1.945
```



# 8
A plane-wave DFT calculation with PBE-GGA was carried out for a relaxed structure of Y2CoRuC.

Properties
**Space group**: P4/mmm (123)
**ΔE_f**: -0.19 eV/atom
**Density of states at the Fermi level**: 3.3 states/eV/cell
**Total energy**: -7.90 eV/atom
**M_tot**: 0.61 μB/cell

extended XYZ file:
```
5
Lattice="4.949 0.000 0.000 0.000 4.949 0.000 0.000 0.000 3.569" Properties=species:S:1:pos:R:3 pbc="T T T"
Y 0.000 2.475 0.000
Y 2.475 0.000 0.000
Co 0.000 0.000 1.784
Ru 2.475 2.475 1.784
C 0.000 0.000 0.000
```



# 9
A plane-wave DFT calculation with PBE-GGA was carried out for a relaxed structure of YCoRu2C.

Properties
**Space group**: P4/mmm (123)
**ΔE_f**: -0.17 eV/atom
**Density of states at the Fermi level**: 2.6 states/eV/cell
**Total energy**: -8.44 eV/atom
**M_tot**: 0.00 μB/cell

extended XYZ file:
```
5
Lattice="4.173 0.000 0.000 0.000 4.173 0.000 0.000 0.000 3.928" Properties=species:S:1:pos:R:3 pbc="T T T"
Y 0.000 0.000 0.000
Co 2.086 2.086 0.000
Ru 0.000 2.086 1.964
Ru 2.086 0.000 1.964
C 2.086 2.086 1.964
```



# 10
A plane-wave DFT calculation with PBE-GGA was carried out for a relaxed structure of Y2CoRuC.

Properties
**Space group**: P4/mmm (123)
**ΔE_f**: -0.14 eV/atom
**Density of states at the Fermi level**: 4.4 states/eV/cell
**Total energy**: -7.84 eV/atom
**M_tot**: 1.01 μB/cell

extended XYZ file:
```
5
Lattice="4.929 0.000 0.000 0.000 4.929 0.000 0.000 0.000 3.841" Properties=species:S:1:pos:R:3 pbc="T T T"
Y 0.000 2.465 0.000
Y 2.465 0.000 0.000
Co 0.000 0.000 1.921
Ru 2.465 2.465 1.921
C 2.465 2.465 0.000
```



# 11
A plane-wave DFT calculation with PBE-GGA was carried out for a relaxed structure of ZnCoRu2C.

Properties
**Space group**: P4/mmm (123)
**ΔE_f**: 0.12 eV/atom
**Density of states at the Fermi level**: 7.0 states/eV/cell
**Total energy**: -7.11 eV/atom
**M_tot**: 0.20 μB/cell

extended XYZ file:
```
5
Lattice="4.036 0.000 0.000 0.000 4.036 0.000 0.000 0.000 3.740" Properties=species:S:1:pos:R:3 pbc="T T T"
Zn 0.000 0.000 0.000
Co 2.018 2.018 0.000
Ru 0.000 2.018 1.870
Ru 2.018 0.000 1.870
C 2.018 2.018 1.870
```



# 12
A plane-wave DFT calculation with PBE-GGA was carried out for a relaxed structure of ZrCo2RuC.

Properties
**Space group**: P4/mmm (123)
**ΔE_f**: -0.24 eV/atom
**Density of states at the Fermi level**: 2.0 states/eV/cell
**Total energy**: -8.49 eV/atom
**M_tot**: 0.00 μB/cell

extended XYZ file:
```
5
Lattice="3.882 0.000 0.000 0.000 3.882 0.000 0.000 0.000 4.069" Properties=species:S:1:pos:R:3 pbc="T T T"
Zr 0.000 0.000 0.000
Co 0.000 1.941 2.034
Co 1.941 0.000 2.034
Ru 1.941 1.941 0.000
C 1.941 1.941 2.034
```



# 13
A plane-wave DFT calculation with PBE-GGA was carried out for a relaxed structure of ZrCoRu2C.

Properties
**Space group**: P4/mmm (123)
**ΔE_f**: -0.27 eV/atom
**Density of states at the Fermi level**: 3.0 states/eV/cell
**Total energy**: -8.96 eV/atom
**M_tot**: 0.76 μB/cell

extended XYZ file:
```
5
Lattice="4.112 0.000 0.000 0.000 4.112 0.000 0.000 0.000 3.870" Properties=species:S:1:pos:R:3 pbc="T T T"
Zr 0.000 0.000 0.000
Co 2.056 2.056 0.000
Ru 0.000 2.056 1.935
Ru 2.056 0.000 1.935
C 2.056 2.056 1.935
```



# 14
A plane-wave DFT calculation with PBE-GGA was carried out for a relaxed structure of Co2CS.

Properties
**Space group**: Fm-3m (225)
**Density of states at the Fermi level**: 3.2 states/eV/cell
**Raw formation energy**: 874 meV per atom
**Total energy**: -6.02 eV/atom
**M_tot**: 2.21 μB/cell

extended XYZ file:
```
4
Lattice="0.000 2.708 2.708 2.708 0.000 2.708 2.708 2.708 0.000" Properties=species:S:1:pos:R:3 pbc="T T T"
Co 1.354 1.354 1.354
Co 4.061 4.061 4.061
C 0.000 0.000 0.000
S 2.708 2.708 2.708
```